LiSmMg2Cd4: relaxed, PBE-GGA.

Total DFT energy (no corrections) = -46.2 eV for the cell shown
Formation energy = -239 meV/atom

Cell lengths 4.9258, 4.9258, 25.6337 Å; angles 90.00, 90.00, 120.00 degrees
Closest atoms and distances in Å follow each position.
Space group R-3m (No. 166, hexagonal axes)
Asymmetric unit:
Li  0.0000  0.0000  0.0000 [3 per cell]  8 Cd 2.88-3.00
Sm  0.0000  0.0000  0.5000 [3 per cell]  8 Cd 3.16-3.33
Mg  0.0000  0.0000  0.2507 [6 per cell]  7 Cd 2.95-3.08
Cd  0.0000  0.0000  0.1125 [6 per cell]  1 Li 2.88, 3 Mg 2.95, 3 Sm 3.16
Cd  0.0000  0.0000  0.3701 [6 per cell]  3 Li 3.00, 4 Mg 3.06-3.08, 1 Sm 3.33

***

Tb3Sm4Dy2: relaxed, PBE-GGA.

Total DFT energy (no corrections) = -83.7 eV for the cell shown
Formation energy = 16 meV/atom
Relative energy among the computed polymorphs = 0.00 eV/f.u.

Cell lengths 15.6576, 3.5833, 10.7377 Å; angles 90.00, 103.17, 90.00 degrees
Closest atoms and distances in Å follow each position.
Space group C2/m (No. 12)
Asymmetric unit:
Tb  0.0000  0.0000  0.0000 [2 per cell]  6 Sm 3.58-3.59, 2 Tb 3.58, 4 Dy 3.59
Tb  0.1675  0.5000  0.5553 [4 per cell]  4 Tb 3.56-3.58, 3 Dy 3.57-3.58, 5 Sm 3.59-3.61
Sm  0.0005  0.0000  0.3332 [4 per cell]  5 Tb 3.58-3.61, 2 Dy 3.58, 5 Sm 3.58-3.59
Sm  0.1668  0.5000  0.8890 [4 per cell]  6 Sm 3.58-3.59, 3 Dy 3.58-3.59, 3 Tb 3.59
Dy  0.1668  0.5000  0.2228 [4 per cell]  5 Tb 3.57-3.59, 5 Sm 3.58-3.59, 2 Dy 3.58

***

MgSnGePb: relaxed, PBE-GGA.

Total DFT energy (no corrections) = -53.6 eV for the cell shown
Formation energy = 128 meV/atom

Cell lengths 7.4021, 7.4021, 7.4021 Å; angles 90.00, 90.00, 90.00 degrees
Closest atoms and distances in Å follow each position.
Space group F-43m (No. 216)
Asymmetric unit:
Mg  0.0000  0.0000  0.0000 [4 per cell]  4 Sn 3.21, 4 Ge 3.21
Sn  0.2500  0.2500  0.7500 [4 per cell]  4 Pb 3.21, 4 Mg 3.21
Ge  0.2500  0.2500  0.2500 [4 per cell]  4 Mg 3.21, 4 Pb 3.21
Pb  0.0000  0.0000  0.5000 [4 per cell]  4 Ge 3.21, 4 Sn 3.21

***

InGeTe3: relaxed, PBE-GGA.

E_form (uncorrected) = 0.606 eV per atom
Total DFT energy (no corrections) = -13.8 eV for the cell shown

Cell lengths 5.6409, 5.6409, 5.6409 Å; angles 90.00, 90.00, 90.00 degrees
Closest atoms and distances in Å follow each position.
Space group Pm-3m (No. 221)
Asymmetric unit:
In  0.0000  0.0000  0.0000 [1 per cell]  6 Te 2.82
Ge  0.5000  0.5000  0.5000 [1 per cell]  12 Te 3.99
Te  0.0000  0.0000  0.5000 [3 per cell]  2 In 2.82

***

no.,density of states at the Fermi level (states/eV/atom)
1,0.462
2,1.253
3,0.404
4,0.866